NbVInCl2: optimized geometry, PBE-GGA.

Summary:
The value obtained for the total magnetization is 2.9 μB per formula unit.

a b c (Å): 5.006 5.006 5.812
angles (deg): 90.00 90.00 90.00
Space group P4/mmm (No. 123)
Symmetry-distinct sites (fractional):
Nb (0.000, 0.000, 0.000)
V (0.500, 0.500, 0.000)
In (0.500, 0.500, 0.500)
Cl (0.000, 0.500, 0.500)


Rb2HfAsSe4: optimized geometry, PBE-GGA.

Summary:
The value obtained for the total magnetization is 0.0 μB per formula unit.

a b c (Å): 5.658 15.490 26.457
angles (deg): 90.00 90.00 90.00
Space group Fddd (No. 70, origin choice 2)
Symmetry-distinct sites (fractional):
Rb (0.125, 0.125, 0.300)
Hf (0.125, 0.125, 0.125)
As (0.125, 0.125, 0.625)
Se (0.102, 0.270, 0.434)


no.,DFT total energy (Ry/atom),uncorrected formation energy (eV/atom)
1,-0.276,1.373
2,-0.341,-0.823